(1)
Compound: Zn4InGa
Source: Alexandria via LeMat-Bulk
Functional: GGA-PBE
Structure: relaxed

Values from the calculation:
Energy of formation, kJ/mol of formula units: 37

```
Zn4InGa
1.0
0.000 3.779 3.779
3.779 0.000 3.779
3.779 3.779 0.000
Zn In Ga
4 1 1
direct
0.125 0.125 0.125 Zn
0.125 0.125 0.624 Zn
0.125 0.624 0.125 Zn
0.624 0.125 0.125 Zn
0.750 0.750 0.750 In
0.500 0.500 0.500 Ga
```

=====

(2)
Compound: ZnInGa2
Source: Alexandria via LeMat-Bulk
Functional: GGA-PBE
Structure: relaxed

Values from the calculation:
Energy of formation, kJ/mol of formula units: 28

```
ZnInGa2
1.0
4.289 0.000 0.000
0.000 4.289 0.000
0.000 0.000 4.393
Zn In Ga
1 1 2
direct
0.000 0.000 0.000 Zn
0.500 0.500 0.000 In
0.000 0.500 0.500 Ga
0.500 0.000 0.500 Ga
```

=====

(3)
Compound: Zn3InGa
Source: Alexandria via LeMat-Bulk
Functional: GGA-PBE
Structure: relaxed

Values from the calculation:
Energy of formation, kJ/mol of formula units: 146
E above lowest polymorph, kJ/mol of formula units: 0.0

```
Zn3InGa
1.0
4.877 0.000 0.000
0.000 4.877 0.000
0.000 0.000 4.877
Zn In Ga
3 1 1
direct
0.000 0.000 0.500 Zn
0.000 0.500 0.000 Zn
0.500 0.000 0.000 Zn
0.500 0.500 0.500 In
0.000 0.000 0.000 Ga
```

=====

(4)
Compound: Zn2In2Ga
Source: Alexandria via LeMat-Bulk
Functional: GGA-PBE
Structure: relaxed

Values from the calculation:
Energy of formation, kJ/mol of formula units: 77
E above lowest polymorph, kJ/mol of formula units: 38.2

```
Zn2In2Ga
1.0
8.486 0.000 0.000
0.000 8.486 0.000
0.000 0.000 3.042
Zn In Ga
4 4 2
direct
0.113 0.387 0.000 Zn
0.387 0.887 0.000 Zn
0.613 0.113 0.000 Zn
0.887 0.613 0.000 Zn
0.184 0.684 0.500 In
0.316 0.184 0.500 In
0.684 0.816 0.500 In
0.816 0.316 0.500 In
0.000 0.000 0.500 Ga
0.500 0.500 0.500 Ga
```

=====

(5)
Compound: Zn2In2Ga
Source: Alexandria via LeMat-Bulk
Functional: GGA-PBE
Structure: relaxed

Values from the calculation:
Energy of formation, kJ/mol of formula units: 38
E above lowest polymorph, kJ/mol of formula units: 0.0

```
Zn2In2Ga
1.0
6.991 0.000 0.000
0.000 6.991 0.000
0.000 0.000 4.345
Zn In Ga
4 4 2
direct
0.131 0.369 0.000 Zn
0.369 0.869 0.000 Zn
0.631 0.131 0.000 Zn
0.869 0.631 0.000 Zn
0.176 0.676 0.500 In
0.324 0.176 0.500 In
0.676 0.824 0.500 In
0.824 0.324 0.500 In
0.000 0.000 0.000 Ga
0.500 0.500 0.000 Ga
```

=====

(6)
Compound: ZnIn12Ga6
Source: Alexandria via LeMat-Bulk
Functional: GGA-PBE
Structure: relaxed

Values from the calculation:
Energy of formation, kJ/mol of formula units: 161

```
ZnIn12Ga6
1.0
6.129 3.538 3.989
-6.129 3.538 3.989
0.000 -7.077 3.989
Zn In Ga
1 12 6
direct
0.000 0.000 0.000 Zn
0.064 0.674 0.933 In
0.067 0.936 0.326 In
0.182 0.451 0.587 In
0.326 0.067 0.936 In
0.413 0.818 0.549 In
0.451 0.587 0.182 In
0.549 0.413 0.818 In
0.587 0.182 0.451 In
0.674 0.933 0.064 In
0.818 0.549 0.413 In
0.933 0.064 0.674 In
0.936 0.326 0.067 In
0.142 0.601 0.291 Ga
0.291 0.142 0.601 Ga
0.399 0.709 0.858 Ga
0.601 0.291 0.142 Ga
0.709 0.858 0.399 Ga
0.858 0.399 0.709 Ga
```

=====

(7)
Compound: Zn12InGa6
Source: Alexandria via LeMat-Bulk
Functional: GGA-PBE
Structure: relaxed

Values from the calculation:
Energy of formation, kJ/mol of formula units: 166

```
Zn12InGa6
1.0
5.899 3.406 2.852
-5.899 3.406 2.852
0.000 -6.811 2.852
Zn In Ga
12 1 6
direct
0.000 0.389 0.611 Zn
0.000 0.611 0.389 Zn
0.146 0.146 0.387 Zn
0.146 0.387 0.146 Zn
0.387 0.146 0.146 Zn
0.389 0.000 0.611 Zn
0.389 0.611 0.000 Zn
0.611 0.000 0.389 Zn
0.611 0.389 0.000 Zn
0.613 0.854 0.854 Zn
0.854 0.613 0.854 Zn
0.854 0.854 0.613 Zn
0.500 0.500 0.500 In
0.198 0.198 0.797 Ga
0.198 0.797 0.198 Ga
0.203 0.802 0.802 Ga
0.797 0.198 0.198 Ga
0.802 0.203 0.802 Ga
0.802 0.802 0.203 Ga
```

=====

(8)
Compound: ZnIn5Ga4
Source: Alexandria via LeMat-Bulk
Functional: GGA-PBE
Structure: relaxed

Values from the calculation:
Energy of formation, kJ/mol of formula units: 48

```
ZnIn5Ga4
1.0
7.819 -1.674 0.000
7.819 1.674 0.000
-1.810 0.000 8.825
Zn In Ga
1 5 4
direct
0.000 0.000 0.000 Zn
0.000 0.000 0.500 In
0.316 0.316 0.405 In
0.355 0.355 0.786 In
0.645 0.645 0.214 In
0.684 0.684 0.595 In
0.184 0.184 0.917 Ga
0.455 0.455 0.212 Ga
0.545 0.545 0.788 Ga
0.816 0.816 0.083 Ga
```

=====

(9)
Compound: ZnIn4Ga3
Source: Alexandria via LeMat-Bulk
Functional: GGA-PBE
Structure: relaxed

Values from the calculation:
Energy of formation, kJ/mol of formula units: 31

```
ZnIn4Ga3
1.0
11.350 -2.042 0.000
11.350 2.042 0.000
-0.459 0.000 3.961
Zn In Ga
1 4 3
direct
0.000 0.000 0.000 Zn
0.217 0.217 0.721 In
0.370 0.370 0.882 In
0.630 0.630 0.118 In
0.783 0.783 0.279 In
0.085 0.085 0.579 Ga
0.500 0.500 0.500 Ga
0.915 0.915 0.421 Ga
```

=====

(10)
Compound: Zn2InGa4
Source: Alexandria via LeMat-Bulk
Functional: GGA-PBE
Structure: relaxed

Values from the calculation:
Energy of formation, kJ/mol of formula units: 32
E above lowest polymorph, kJ/mol of formula units: 1.6

```
Zn2InGa4
1.0
8.130 0.000 0.000
0.000 8.130 0.000
0.000 0.000 4.174
Zn In Ga
4 2 8
direct
0.197 0.197 0.000 Zn
0.303 0.697 0.500 Zn
0.697 0.303 0.500 Zn
0.803 0.803 0.000 Zn
0.000 0.000 0.500 In
0.500 0.500 0.000 In
0.091 0.658 0.000 Ga
0.158 0.409 0.500 Ga
0.342 0.909 0.000 Ga
0.409 0.158 0.500 Ga
0.591 0.842 0.500 Ga
0.658 0.091 0.000 Ga
0.842 0.591 0.500 Ga
0.909 0.342 0.000 Ga
```

=====

(11)
Compound: Zn3In2Ga4
Source: Alexandria via LeMat-Bulk
Functional: GGA-PBE
Structure: relaxed

Values from the calculation:
Energy of formation, kJ/mol of formula units: 56

```
Zn3In2Ga4
1.0
0.000 5.667 6.261
2.518 0.000 6.261
2.518 5.667 0.000
Zn In Ga
3 2 4
direct
0.000 0.000 0.000 Zn
0.000 0.000 0.500 Zn
0.500 0.500 0.000 Zn
0.372 0.372 0.628 In
0.628 0.628 0.372 In
0.021 0.339 0.661 Ga
0.339 0.021 0.979 Ga
0.661 0.979 0.021 Ga
0.979 0.661 0.339 Ga
```

=====

(12)
Compound: Zn9In3Ga2
Source: Alexandria via LeMat-Bulk
Functional: GGA-PBE
Structure: relaxed

Values from the calculation:
Energy of formation, kJ/mol of formula units: 120

```
Zn9In3Ga2
1.0
-2.305 4.674 6.153
2.305 -4.674 6.153
2.305 4.674 -6.153
Zn In Ga
9 3 2
direct
0.000 0.000 0.000 Zn
0.102 0.871 0.231 Zn
0.197 0.335 0.862 Zn
0.359 0.129 0.231 Zn
0.473 0.335 0.138 Zn
0.527 0.665 0.862 Zn
0.641 0.871 0.769 Zn
0.803 0.665 0.138 Zn
0.898 0.129 0.769 Zn
0.214 0.714 0.500 In
0.500 0.000 0.500 In
0.786 0.286 0.500 In
0.177 0.500 0.677 Ga
0.823 0.500 0.323 Ga
```

=====

(13)
Compound: Zn7InGa12
Source: Alexandria via LeMat-Bulk
Functional: GGA-PBE
Structure: relaxed

Values from the calculation:
Energy of formation, kJ/mol of formula units: 133

```
Zn7InGa12
1.0
6.226 3.594 2.756
-6.226 3.594 2.756
0.000 -7.189 2.756
Zn In Ga
7 1 12
direct
0.000 0.000 0.000 Zn
0.063 0.353 0.320 Zn
0.320 0.063 0.353 Zn
0.353 0.320 0.063 Zn
0.647 0.680 0.937 Zn
0.680 0.937 0.647 Zn
0.937 0.647 0.680 Zn
0.500 0.500 0.500 In
0.026 0.682 0.100 Ga
0.100 0.026 0.682 Ga
0.228 0.482 0.740 Ga
0.260 0.772 0.518 Ga
0.318 0.900 0.974 Ga
0.482 0.740 0.228 Ga
0.518 0.260 0.772 Ga
0.682 0.100 0.026 Ga
0.740 0.228 0.482 Ga
0.772 0.518 0.260 Ga
0.900 0.974 0.318 Ga
0.974 0.318 0.900 Ga
```

=====

(14)
Compound: ZnInGa2
Source: Alexandria via LeMat-Bulk
Functional: GGA-PBE
Structure: relaxed

Values from the calculation:
Energy of formation, kJ/mol of formula units: 39

```
ZnInGa2
1.0
0.000 3.453 3.453
3.453 0.000 3.453
3.453 3.453 0.000
Zn In Ga
1 1 2
direct
0.000 0.000 0.000 Zn
0.500 0.500 0.500 In
0.250 0.250 0.250 Ga
0.750 0.750 0.750 Ga
```

=====

(15)
Compound: Zn12InGa7
Source: Alexandria via LeMat-Bulk
Functional: GGA-PBE
Structure: relaxed

Values from the calculation:
Energy of formation, kJ/mol of formula units: 181

```
Zn12InGa7
1.0
6.961 4.019 2.143
-6.961 4.019 2.143
0.000 -8.038 2.143
Zn In Ga
12 1 7
direct
0.000 0.267 0.733 Zn
0.000 0.733 0.267 Zn
0.050 0.388 0.388 Zn
0.267 0.000 0.733 Zn
0.267 0.733 0.000 Zn
0.388 0.050 0.388 Zn
0.388 0.388 0.050 Zn
0.612 0.612 0.950 Zn
0.612 0.950 0.612 Zn
0.733 0.000 0.267 Zn
0.733 0.267 0.000 Zn
0.950 0.612 0.612 Zn
0.000 0.000 0.000 In
0.198 0.198 0.542 Ga
0.198 0.542 0.198 Ga
0.458 0.802 0.802 Ga
0.500 0.500 0.500 Ga
0.542 0.198 0.198 Ga
0.802 0.458 0.802 Ga
0.802 0.802 0.458 Ga
```

=====

(16)
Compound: Zn5In3Ga12
Source: Alexandria via LeMat-Bulk
Functional: GGA-PBE
Structure: relaxed

Values from the calculation:
Energy of formation, kJ/mol of formula units: 359

```
Zn5In3Ga12
1.0
-7.741 7.741 7.741
7.741 -7.741 7.741
7.741 7.741 -7.741
Zn In Ga
20 12 48
direct
0.000 0.000 0.000 Zn
0.000 0.000 0.500 Zn
0.000 0.500 0.000 Zn
0.000 0.500 0.500 Zn
0.125 0.750 0.875 Zn
0.125 0.875 0.250 Zn
0.250 0.125 0.875 Zn
0.250 0.625 0.375 Zn
0.375 0.250 0.625 Zn
0.375 0.625 0.750 Zn
0.500 0.000 0.000 Zn
0.500 0.000 0.500 Zn
0.500 0.500 0.000 Zn
0.500 0.500 0.500 Zn
0.625 0.375 0.250 Zn
0.625 0.750 0.375 Zn
0.750 0.375 0.625 Zn
0.750 0.875 0.125 Zn
0.875 0.125 0.750 Zn
0.875 0.250 0.125 Zn
0.125 0.250 0.375 In
0.125 0.375 0.750 In
0.250 0.375 0.125 In
0.250 0.875 0.625 In
0.375 0.125 0.250 In
0.375 0.750 0.125 In
0.625 0.250 0.875 In
0.625 0.875 0.750 In
0.750 0.125 0.375 In
0.750 0.625 0.875 In
0.875 0.625 0.250 In
0.875 0.750 0.625 In
0.052 0.219 0.126 Ga
0.052 0.333 0.925 Ga
0.075 0.626 0.407 Ga
0.075 0.948 0.667 Ga
0.093 0.719 0.667 Ga
0.093 0.874 0.425 Ga
0.126 0.052 0.219 Ga
0.126 0.575 0.907 Ga
0.167 0.219 0.593 Ga
0.167 0.448 0.575 Ga
0.219 0.126 0.052 Ga
0.219 0.593 0.167 Ga
0.281 0.333 0.907 Ga
0.281 0.448 0.374 Ga
0.333 0.907 0.281 Ga
0.333 0.925 0.052 Ga
0.374 0.281 0.448 Ga
0.374 0.593 0.925 Ga
0.407 0.075 0.626 Ga
0.407 0.833 0.781 Ga
0.425 0.093 0.874 Ga
0.425 0.833 0.552 Ga
0.448 0.374 0.281 Ga
0.448 0.575 0.167 Ga
0.552 0.425 0.833 Ga
0.552 0.626 0.719 Ga
0.575 0.167 0.448 Ga
0.575 0.907 0.126 Ga
0.593 0.167 0.219 Ga
0.593 0.925 0.374 Ga
0.626 0.407 0.075 Ga
0.626 0.719 0.552 Ga
0.667 0.075 0.948 Ga
0.667 0.093 0.719 Ga
0.719 0.552 0.626 Ga
0.719 0.667 0.093 Ga
0.781 0.407 0.833 Ga
0.781 0.874 0.948 Ga
0.833 0.552 0.425 Ga
0.833 0.781 0.407 Ga
0.874 0.425 0.093 Ga
0.874 0.948 0.781 Ga
0.907 0.126 0.575 Ga
0.907 0.281 0.333 Ga
0.925 0.052 0.333 Ga
0.925 0.374 0.593 Ga
0.948 0.667 0.075 Ga
0.948 0.781 0.874 Ga
```

=====

(17)
Compound: ZnInGa2
Source: Alexandria via LeMat-Bulk
Functional: GGA-PBE
Structure: relaxed

Values from the calculation:
Energy of formation, kJ/mol of formula units: 28

```
ZnInGa2
1.0
1.712 0.988 8.107
-1.712 0.988 8.107
0.000 -1.976 8.107
Zn In Ga
1 1 2
direct
0.000 0.000 0.000 Zn
0.500 0.500 0.500 In
0.259 0.259 0.259 Ga
0.741 0.741 0.741 Ga
```

=====

no.,volume (Å³/atom),electronic total energy (eV per atom),density of states at the Fermi level (states/eV per cell)
1,17.99,-1.75,3.47
2,20.20,-2.44,1.24
3,23.20,-1.62,2.59
4,21.90,-2.05,4.70
5,21.24,-2.13,4.45
6,27.32,-2.66,5.73
7,18.09,-1.81,5.51
8,23.10,-2.66,3.25
9,22.95,-2.62,2.93
10,19.70,-2.44,5.56
11,19.86,-2.31,2.98
12,18.94,-1.75,3.71
13,18.50,-2.33,4.96
14,20.58,-2.42,1.90
15,17.99,-1.87,7.00
16,23.20,-2.36,33.89
17,20.57,-2.44,1.12